[1]
11
Lattice="-1.828 5.086 -2.002 -7.921 3.153 2.504 -0.569 5.215 7.398" Properties=species:S:1:pos:R:3 comment="PBE Nd2Tm8Th, relaxed" ef_ev_per_atom=0.183 de_polymorph_mev_per_atom=153.4 total_magnetization_mub_per_fu=0.00 volume_a3_per_atom=31.92 pbc="T T T"
Tm -7.903 7.729 7.663
Tm -2.415 5.725 0.236
Tm -3.901 2.847 0.467
Nd -2.643 2.990 3.639
Tm -5.805 4.155 3.036
Tm -2.918 6.219 3.797
Tm -7.400 7.235 4.103
Th -0.914 2.543 -1.001
Tm -5.848 5.392 0.034
Tm -4.513 9.299 4.863
Nd -5.847 5.378 6.262


[2]
16
Lattice="7.986 0.000 0.000 0.000 7.986 0.000 -3.993 -3.993 7.650" Properties=species:S:1:pos:R:3 comment="PBE Pm5TlHg2, relaxed" ef_ev_per_atom=-0.313 total_magnetization_mub_per_fu=0.00 volume_a3_per_atom=30.50 pbc="T T T"
Tl 3.993 3.993 3.825
Pm 0.000 0.000 0.000
Pm -1.286 -2.707 5.313
Hg 6.927 5.052 0.000
Pm 1.286 2.707 5.313
Pm 2.707 1.286 2.337
Pm -2.707 1.286 5.313
Hg 2.934 6.927 0.000
Pm 2.707 -1.286 5.313
Tl 0.000 0.000 3.825
Pm 6.700 2.707 2.337
Hg 1.059 2.934 0.000
Pm 1.286 5.279 2.337
Pm 5.279 6.700 2.337
Hg 5.052 1.059 0.000
Pm 3.993 3.993 0.000


[3]
12
Lattice="3.541 0.000 0.000 0.000 7.136 0.000 0.000 0.000 14.028" Properties=species:S:1:pos:R:3 comment="PBE SmCl2, relaxed" total_magnetization_mub_per_fu=0.00 volume_a3_per_atom=29.54 formation_energy_uncorrected_mev_per_atom=-1932 pbc="T T T"
Cl 2.656 4.435 10.590
Cl 2.656 6.270 3.576
Cl 2.656 1.712 0.003
Sm 2.656 3.988 5.216
Sm 0.885 0.420 1.798
Sm 0.885 3.149 8.811
Cl 2.656 1.856 7.017
Cl 0.885 0.866 10.451
Cl 0.885 2.702 3.438
Cl 0.885 5.280 7.011
Sm 2.656 6.717 12.230
Cl 0.885 5.425 14.025


[4]
10
Lattice="5.763 0.246 0.187 2.824 5.030 0.187 1.511 0.928 7.564" Properties=species:S:1:pos:R:3 comment="PBE Sm2AlRu2, relaxed" ef_ev_per_atom=-0.429 total_magnetization_mub_per_fu=0.00 volume_a3_per_atom=21.22 pbc="T T T"
Sm 6.507 3.037 2.931
Sm 3.591 3.167 5.006
Ru 2.104 3.602 0.258
Ru 4.919 0.714 4.040
Ru 5.179 5.491 3.897
Sm 6.405 4.896 6.713
Al 6.577 1.462 5.859
Al 3.521 4.743 2.078
Ru 7.994 2.603 7.679
Sm 3.693 1.308 1.224


[5]
6
Lattice="0.000 4.323 4.323 4.323 0.000 4.323 4.323 4.323 0.000" Properties=species:S:1:pos:R:3 comment="PBE In4CuSb, relaxed" total_magnetization_mub_per_fu=0.00 volume_a3_per_atom=26.94 formation_energy_uncorrected_mev_per_atom=409 pbc="T T T"
In 3.242 5.405 5.405
In 5.405 5.405 3.242
In 3.242 3.242 3.242
In 5.405 3.242 5.405
Cu 0.000 0.000 0.000
Sb 6.485 6.485 6.485


[6]
4
Lattice="5.000 0.000 0.000 2.500 4.330 0.000 2.500 1.443 4.083" Properties=species:S:1:pos:R:3 comment="PBE HoAgHg2, relaxed" ef_ev_per_atom=-0.329 total_magnetization_mub_per_fu=0.00 volume_a3_per_atom=22.10 pbc="T T T"
Ag 5.000 2.887 2.041
Ho 0.000 0.000 0.000
Hg 7.500 4.330 3.062
Hg 2.500 1.443 1.021


[7]
5
Lattice="-1.949 3.248 2.266 -3.673 -2.426 0.318 1.479 -1.745 3.775" Properties=species:S:1:pos:R:3 comment="PBE NiP3Au, relaxed" ef_ev_per_atom=0.671 de_polymorph_mev_per_atom=0.0 total_magnetization_mub_per_fu=0.00 volume_a3_per_atom=17.20 pbc="T T T"
P -1.837 -1.213 0.159
P 0.740 -0.873 1.887
Au -2.071 -0.461 3.179
Ni 0.000 0.000 0.000
P -0.974 1.624 1.133


[8]
23
Lattice="6.123 0.000 0.000 0.000 6.123 0.000 0.000 0.000 11.250" Properties=species:S:1:pos:R:3 comment="PBE Pm4Al16Ni3, relaxed" ef_ev_per_atom=-0.471 total_magnetization_mub_per_fu=0.00 volume_a3_per_atom=18.34 pbc="T T T"
Al 4.412 1.712 0.000
Al 3.062 3.062 9.028
Al 4.568 4.568 4.310
Pm 0.000 3.062 2.160
Al 0.000 0.000 8.758
Pm 3.062 0.000 2.160
Al 1.556 1.556 4.310
Pm 3.062 0.000 9.090
Ni 0.000 3.062 5.625
Al 1.556 1.556 6.940
Al 3.062 3.062 2.222
Al 1.712 1.712 0.000
Ni 3.062 0.000 5.625
Al 0.000 0.000 2.492
Ni 0.000 0.000 0.000
Al 1.556 4.568 4.310
Al 4.568 1.556 6.940
Al 4.412 4.412 0.000
Al 1.556 4.568 6.940
Pm 0.000 3.062 9.090
Al 4.568 1.556 4.310
Al 4.568 4.568 6.940
Al 1.712 4.412 0.000


Copy entry 3 word for word.
12
Lattice="3.541 0.000 0.000 0.000 7.136 0.000 0.000 0.000 14.028" Properties=species:S:1:pos:R:3 comment="PBE SmCl2, relaxed" total_magnetization_mub_per_fu=0.00 volume_a3_per_atom=29.54 formation_energy_uncorrected_mev_per_atom=-1932 pbc="T T T"
Cl 2.656 4.435 10.590
Cl 2.656 6.270 3.576
Cl 2.656 1.712 0.003
Sm 2.656 3.988 5.216
Sm 0.885 0.420 1.798
Sm 0.885 3.149 8.811
Cl 2.656 1.856 7.017
Cl 0.885 0.866 10.451
Cl 0.885 2.702 3.438
Cl 0.885 5.280 7.011
Sm 2.656 6.717 12.230
Cl 0.885 5.425 14.025


Which formula does entry 3 have?
SmCl2